w.
# TbMgZr GGA-PBE optimized geometry
data_TbMgZr
_chemical_formula_sum 'Tb1 Mg1 Zr1'
_symmetry_space_group_name_H-M 'P 1'
_symmetry_Int_Tables_number 1
_cell_length_a 3.375
_cell_length_b 3.375
_cell_length_c 7.211
_cell_angle_alpha 103.53
_cell_angle_beta 103.53
_cell_angle_gamma 90.00
loop_
_symmetry_equiv_pos_as_xyz
'x,y,z'
loop_
_atom_site_label
_atom_site_type_symbol
_atom_site_fract_x
_atom_site_fract_y
_atom_site_fract_z
Mg1 Mg 0.658 0.658 0.316
Tb1 Tb 0.338 0.338 0.677
Zr1 Zr 0.004 0.004 0.007
# - calculated density (Mg/m³) = 5.9
# - symmetry = I4mm (107)
# - DOS(E_F) (states/eV per cell) = 1.8

x.
# TbMgZr GGA-PBE optimized geometry
data_TbMgZr
_chemical_formula_sum 'Tb1 Mg1 Zr1'
_symmetry_space_group_name_H-M 'P 1'
_symmetry_Int_Tables_number 1
_cell_length_a 3.316
_cell_length_b 3.316
_cell_length_c 8.231
_cell_angle_alpha 90.00
_cell_angle_beta 90.00
_cell_angle_gamma 120.00
loop_
_symmetry_equiv_pos_as_xyz
'x,y,z'
loop_
_atom_site_label
_atom_site_type_symbol
_atom_site_fract_x
_atom_site_fract_y
_atom_site_fract_z
Mg1 Mg 0.000 0.000 0.013
Tb1 Tb 0.333 0.667 0.654
Zr1 Zr 0.667 0.333 0.333
# - calculated density (Mg/m³) = 5.8
# - symmetry = P3m1 (156)
# - DOS(E_F) (states/eV per cell) = 3.4

y.
# TbMgZr GGA-PBE optimized geometry
data_TbMgZr
_chemical_formula_sum 'Tb2 Mg2 Zr2'
_symmetry_space_group_name_H-M 'P 1'
_symmetry_Int_Tables_number 1
_cell_length_a 3.287
_cell_length_b 4.908
_cell_length_c 9.777
_cell_angle_alpha 90.00
_cell_angle_beta 80.31
_cell_angle_gamma 89.99
loop_
_symmetry_equiv_pos_as_xyz
'x,y,z'
loop_
_atom_site_label
_atom_site_type_symbol
_atom_site_fract_x
_atom_site_fract_y
_atom_site_fract_z
Tb1 Tb 0.002 0.291 0.498
Tb2 Tb 0.243 0.791 0.014
Mg1 Mg 0.664 0.291 0.170
Mg2 Mg 0.581 0.791 0.342
Zr1 Zr 0.837 0.291 0.827
Zr2 Zr 0.408 0.791 0.685
# - calculated density (Mg/m³) = 5.9
# - symmetry = P2_1/m (11)
# - DOS(E_F) (states/eV per cell) = 5.4

Stability summary: most stable w, least stable x.

w.
# Tb2MgZr GGA-PBE optimized geometry
data_Tb2MgZr
_chemical_formula_sum 'Tb2 Mg1 Zr1'
_symmetry_space_group_name_H-M 'P 1'
_symmetry_Int_Tables_number 1
_cell_length_a 5.361
_cell_length_b 5.361
_cell_length_c 5.361
_cell_angle_alpha 60.00
_cell_angle_beta 60.00
_cell_angle_gamma 60.00
loop_
_symmetry_equiv_pos_as_xyz
'x,y,z'
loop_
_atom_site_label
_atom_site_type_symbol
_atom_site_fract_x
_atom_site_fract_y
_atom_site_fract_z
Mg1 Mg 0.500 0.500 0.500
Tb1 Tb 0.250 0.250 0.250
Tb2 Tb 0.750 0.750 0.750
Zr1 Zr 0.000 0.000 0.000
# - calculated density (Mg/m³) = 6.6
# - symmetry = Fm-3m (225)
# - DOS(E_F) (states/eV per cell) = 5.4

x.
# Tb2MgZr GGA-PBE optimized geometry
data_Tb2MgZr
_chemical_formula_sum 'Tb2 Mg1 Zr1'
_symmetry_space_group_name_H-M 'P 1'
_symmetry_Int_Tables_number 1
_cell_length_a 3.234
_cell_length_b 3.234
_cell_length_c 12.309
_cell_angle_alpha 82.45
_cell_angle_beta 82.45
_cell_angle_gamma 60.00
loop_
_symmetry_equiv_pos_as_xyz
'x,y,z'
loop_
_atom_site_label
_atom_site_type_symbol
_atom_site_fract_x
_atom_site_fract_y
_atom_site_fract_z
Mg1 Mg 0.500 0.500 0.500
Tb1 Tb 0.087 0.087 0.738
Tb2 Tb 0.913 0.913 0.262
Zr1 Zr 0.000 0.000 0.000
# - calculated density (Mg/m³) = 6.5
# - symmetry = R-3m (166)
# - DOS(E_F) (states/eV per cell) = 4.9

y.
# Tb2MgZr GGA-PBE optimized geometry
data_Tb2MgZr
_chemical_formula_sum 'Tb2 Mg1 Zr1'
_symmetry_space_group_name_H-M 'P 1'
_symmetry_Int_Tables_number 1
_cell_length_a 4.687
_cell_length_b 4.778
_cell_length_c 4.778
_cell_angle_alpha 90.00
_cell_angle_beta 90.00
_cell_angle_gamma 90.00
loop_
_symmetry_equiv_pos_as_xyz
'x,y,z'
loop_
_atom_site_label
_atom_site_type_symbol
_atom_site_fract_x
_atom_site_fract_y
_atom_site_fract_z
Mg1 Mg 0.500 0.000 0.000
Tb1 Tb 0.000 0.000 0.500
Tb2 Tb 0.000 0.500 0.000
Zr1 Zr 0.500 0.500 0.500
# - calculated density (Mg/m³) = 6.7
# - symmetry = P4/mmm (123)
# - DOS(E_F) (states/eV per cell) = 5.1

z.
# Tb2MgZr GGA-PBE optimized geometry
data_Tb2MgZr
_chemical_formula_sum 'Tb2 Mg1 Zr1'
_symmetry_space_group_name_H-M 'P 1'
_symmetry_Int_Tables_number 1
_cell_length_a 3.386
_cell_length_b 3.386
_cell_length_c 11.318
_cell_angle_alpha 81.35
_cell_angle_beta 81.35
_cell_angle_gamma 59.89
loop_
_symmetry_equiv_pos_as_xyz
'x,y,z'
loop_
_atom_site_label
_atom_site_type_symbol
_atom_site_fract_x
_atom_site_fract_y
_atom_site_fract_z
Tb1 Tb 0.079 0.079 0.761
Tb2 Tb 0.254 0.254 0.239
Mg1 Mg 0.500 0.500 0.500
Zr1 Zr 0.667 0.667 0.000
# - calculated density (Mg/m³) = 6.5
# - symmetry = R3m (160)
# - DOS(E_F) (states/eV per cell) = 4.2

Stability summary: most stable z, least stable x.

w.
# Mg4Tc3 GGA-PBE optimized geometry
data_Mg4Tc3
_chemical_formula_sum 'Mg4 Tc3'
_symmetry_space_group_name_H-M 'P 1'
_symmetry_Int_Tables_number 1
_cell_length_a 5.192
_cell_length_b 5.192
_cell_length_c 5.292
_cell_angle_alpha 90.00
_cell_angle_beta 90.00
_cell_angle_gamma 120.00
loop_
_symmetry_equiv_pos_as_xyz
'x,y,z'
loop_
_atom_site_label
_atom_site_type_symbol
_atom_site_fract_x
_atom_site_fract_y
_atom_site_fract_z
Mg1 Mg 0.000 0.000 0.243
Mg2 Mg 0.000 0.000 0.757
Mg3 Mg 0.333 0.667 0.500
Mg4 Mg 0.667 0.333 0.500
Tc1 Tc 0.500 0.000 0.000
Tc2 Tc 0.000 0.500 0.000
Tc3 Tc 0.500 0.500 0.000
# - calculated density (Mg/m³) = 5.3
# - symmetry = P6/mmm (191)
# - DOS(E_F) (states/eV per cell) = 6.6

x.
# Mg4Tc3 GGA-PBE optimized geometry
data_Mg4Tc3
_chemical_formula_sum 'Mg4 Tc3'
_symmetry_space_group_name_H-M 'P 1'
_symmetry_Int_Tables_number 1
_cell_length_a 13.163
_cell_length_b 13.163
_cell_length_c 13.163
_cell_angle_alpha 166.59
_cell_angle_beta 166.59
_cell_angle_gamma 19.00
loop_
_symmetry_equiv_pos_as_xyz
'x,y,z'
loop_
_atom_site_label
_atom_site_type_symbol
_atom_site_fract_x
_atom_site_fract_y
_atom_site_fract_z
Mg1 Mg 0.846 0.846 0.000
Mg2 Mg 0.154 0.154 0.000
Mg3 Mg 0.567 0.567 0.000
Mg4 Mg 0.433 0.433 0.000
Tc1 Tc 0.000 0.000 0.000
Tc2 Tc 0.723 0.723 0.000
Tc3 Tc 0.277 0.277 0.000
# - calculated density (Mg/m³) = 5.3
# - symmetry = I4/mmm (139)
# - DOS(E_F) (states/eV per cell) = 4.4

Stability summary: most stable x, least stable w.

w.
# Mg4Tc5 GGA-PBE optimized geometry
data_Mg4Tc5
_chemical_formula_sum 'Mg4 Tc5'
_symmetry_space_group_name_H-M 'P 1'
_symmetry_Int_Tables_number 1
_cell_length_a 6.862
_cell_length_b 6.862
_cell_length_c 6.862
_cell_angle_alpha 93.18
_cell_angle_beta 93.18
_cell_angle_gamma 152.77
loop_
_symmetry_equiv_pos_as_xyz
'x,y,z'
loop_
_atom_site_label
_atom_site_type_symbol
_atom_site_fract_x
_atom_site_fract_y
_atom_site_fract_z
Mg1 Mg 0.321 0.000 0.321
Mg2 Mg 0.679 0.000 0.679
Mg3 Mg 0.000 0.321 0.321
Mg4 Mg 0.000 0.679 0.679
Tc1 Tc 0.000 0.000 0.000
Tc2 Tc 0.326 0.326 0.651
Tc3 Tc 0.674 0.674 0.349
Tc4 Tc 0.674 0.326 0.000
Tc5 Tc 0.326 0.674 0.000
# - calculated density (Mg/m³) = 6.8
# - symmetry = I4/mmm (139)
# - DOS(E_F) (states/eV per cell) = 7.3

x.
# Mg4Tc5 GGA-PBE optimized geometry
data_Mg4Tc5
_chemical_formula_sum 'Mg8 Tc10'
_symmetry_space_group_name_H-M 'P 1'
_symmetry_Int_Tables_number 1
_cell_length_a 7.904
_cell_length_b 7.904
_cell_length_c 5.259
_cell_angle_alpha 90.00
_cell_angle_beta 90.00
_cell_angle_gamma 120.00
loop_
_symmetry_equiv_pos_as_xyz
'x,y,z'
loop_
_atom_site_label
_atom_site_type_symbol
_atom_site_fract_x
_atom_site_fract_y
_atom_site_fract_z
Mg1 Mg 0.000 0.000 0.000
Mg2 Mg 0.000 0.000 0.500
Mg3 Mg 0.000 0.320 0.250
Mg4 Mg 0.680 0.680 0.250
Mg5 Mg 0.320 0.000 0.250
Mg6 Mg 0.000 0.680 0.750
Mg7 Mg 0.320 0.320 0.750
Mg8 Mg 0.680 0.000 0.750
Tc1 Tc 0.000 0.643 0.250
Tc2 Tc 0.357 0.357 0.250
Tc3 Tc 0.643 0.000 0.250
Tc4 Tc 0.000 0.357 0.750
Tc5 Tc 0.643 0.643 0.750
Tc6 Tc 0.357 0.000 0.750
Tc7 Tc 0.667 0.333 0.000
Tc8 Tc 0.333 0.667 0.500
Tc9 Tc 0.333 0.667 0.000
Tc10 Tc 0.667 0.333 0.500
# - calculated density (Mg/m³) = 6.9
# - symmetry = P6_3/mcm (193)
# - DOS(E_F) (states/eV per cell) = 23.2

Stability summary: most stable w, least stable x.

w.
# MgTcTe GGA-PBE optimized geometry
data_MgTcTe
_chemical_formula_sum 'Mg1 Tc1 Te1'
_symmetry_space_group_name_H-M 'P 1'
_symmetry_Int_Tables_number 1
_cell_length_a 3.338
_cell_length_b 3.338
_cell_length_c 6.644
_cell_angle_alpha 90.00
_cell_angle_beta 90.00
_cell_angle_gamma 120.00
loop_
_symmetry_equiv_pos_as_xyz
'x,y,z'
loop_
_atom_site_label
_atom_site_type_symbol
_atom_site_fract_x
_atom_site_fract_y
_atom_site_fract_z
Mg1 Mg 0.000 0.000 0.040
Tc1 Tc 0.667 0.333 0.347
Te1 Te 0.333 0.667 0.613
# - calculated density (Mg/m³) = 6.5
# - symmetry = P3m1 (156)
# - DOS(E_F) (states/eV per cell) = 2.4

x.
# MgTcTe GGA-PBE optimized geometry
data_MgTcTe
_chemical_formula_sum 'Mg1 Tc1 Te1'
_symmetry_space_group_name_H-M 'P 1'
_symmetry_Int_Tables_number 1
_cell_length_a 6.243
_cell_length_b 6.243
_cell_length_c 6.243
_cell_angle_alpha 149.41
_cell_angle_beta 149.41
_cell_angle_gamma 43.81
loop_
_symmetry_equiv_pos_as_xyz
'x,y,z'
loop_
_atom_site_label
_atom_site_type_symbol
_atom_site_fract_x
_atom_site_fract_y
_atom_site_fract_z
Mg1 Mg 0.972 0.972 0.000
Tc1 Tc 0.322 0.322 0.000
Te1 Te 0.705 0.705 0.000
# - calculated density (Mg/m³) = 6.6
# - symmetry = I4mm (107)
# - DOS(E_F) (states/eV per cell) = 1.9

y.
# MgTcTe GGA-PBE optimized geometry
data_MgTcTe
_chemical_formula_sum 'Mg1 Tc1 Te1'
_symmetry_space_group_name_H-M 'P 1'
_symmetry_Int_Tables_number 1
_cell_length_a 4.464
_cell_length_b 4.464
_cell_length_c 4.464
_cell_angle_alpha 60.00
_cell_angle_beta 60.00
_cell_angle_gamma 60.00
loop_
_symmetry_equiv_pos_as_xyz
'x,y,z'
loop_
_atom_site_label
_atom_site_type_symbol
_atom_site_fract_x
_atom_site_fract_y
_atom_site_fract_z
Mg1 Mg 0.500 0.500 0.500
Tc1 Tc 0.750 0.750 0.750
Te1 Te 0.000 0.000 0.000
# - calculated density (Mg/m³) = 6.6
# - symmetry = F-43m (216)
# - DOS(E_F) (states/eV per cell) = 3.1

z.
# MgTcTe GGA-PBE optimized geometry
data_MgTcTe
_chemical_formula_sum 'Mg1 Tc1 Te1'
_symmetry_space_group_name_H-M 'P 1'
_symmetry_Int_Tables_number 1
_cell_length_a 7.384
_cell_length_b 7.103
_cell_length_c 3.152
_cell_angle_alpha 82.47
_cell_angle_beta 72.49
_cell_angle_gamma 25.04
loop_
_symmetry_equiv_pos_as_xyz
'x,y,z'
loop_
_atom_site_label
_atom_site_type_symbol
_atom_site_fract_x
_atom_site_fract_y
_atom_site_fract_z
Mg1 Mg 0.018 0.018 0.982
Tc1 Tc 0.669 0.669 0.331
Te1 Te 0.313 0.313 0.687
# - calculated density (Mg/m³) = 6.6
# - symmetry = Fmm2 (42)
# - DOS(E_F) (states/eV per cell) = 3.1

Stability summary: most stable x, least stable z.

w.
# Mg2TlTc GGA-PBE optimized geometry
data_Mg2TlTc
_chemical_formula_sum 'Mg2 Tl1 Tc1'
_symmetry_space_group_name_H-M 'P 1'
_symmetry_Int_Tables_number 1
_cell_length_a 5.624
_cell_length_b 5.624
_cell_length_c 4.620
_cell_angle_alpha 65.77
_cell_angle_beta 65.77
_cell_angle_gamma 35.33
loop_
_symmetry_equiv_pos_as_xyz
'x,y,z'
loop_
_atom_site_label
_atom_site_type_symbol
_atom_site_fract_x
_atom_site_fract_y
_atom_site_fract_z
Mg1 Mg 0.020 0.020 0.980
Mg2 Mg 0.480 0.480 0.520
Tc1 Tc 0.750 0.750 0.750
Tl1 Tl 0.250 0.250 0.250
# - calculated density (Mg/m³) = 7.6
# - symmetry = Immm (71)
# - DOS(E_F) (states/eV per cell) = 3.0

x.
# Mg2TlTc GGA-PBE optimized geometry
data_Mg2TlTc
_chemical_formula_sum 'Mg2 Tl1 Tc1'
_symmetry_space_group_name_H-M 'P 1'
_symmetry_Int_Tables_number 1
_cell_length_a 4.716
_cell_length_b 4.716
_cell_length_c 4.716
_cell_angle_alpha 60.00
_cell_angle_beta 60.00
_cell_angle_gamma 60.00
loop_
_symmetry_equiv_pos_as_xyz
'x,y,z'
loop_
_atom_site_label
_atom_site_type_symbol
_atom_site_fract_x
_atom_site_fract_y
_atom_site_fract_z
Mg1 Mg 0.250 0.250 0.250
Mg2 Mg 0.750 0.750 0.750
Tl1 Tl 0.500 0.500 0.500
Tc1 Tc 0.000 0.000 0.000
# - calculated density (Mg/m³) = 7.9
# - symmetry = Fm-3m (225)
# - DOS(E_F) (states/eV per cell) = 1.9

Stability summary: most stable w, least stable x.